The following is a PBE calculation of an optimized crystal structure of IrClF3, from Alexandria.

a = 7.4424 Å, b = 7.4726 Å, c = 6.3918 Å
α = 90.00°, β = 90.00°, γ = 90.00°
With the nearest neighbours (Å) after each atom.
Space group Cmcm (No. 63)
Symmetry-distinct sites (fractional):
Ir (0.0000, 0.0084, 0.2500) [4 per cell]  5 F 1.94-2.03
Cl (0.0000, 0.3080, 0.2500) [4 per cell]  1 Ir 2.24
F (0.0000, 0.2514, 0.7500) [4 per cell]  1 Ir 1.94
F (0.1687, 0.0000, 0.0000) [8 per cell]  2 Ir 2.03

The raw formation energy is -1.042 eV/atom. The polymorph energy (0 for the lowest one) comes out at 0 meV per atom. For the total magnetic moment, the calculation gives 1.0 μB/f.u.